No. 1
# AcTb2Dy4, relaxed, DFT GGA-PBE
data_AcTb2Dy4
_chemical_formula_sum 'Ac2 Tb4 Dy8'
_symmetry_space_group_name_H-M 'P 1'
_symmetry_Int_Tables_number 1
_cell_length_a 6.868
_cell_length_b 8.549
_cell_length_c 9.338
_cell_angle_alpha 65.49
_cell_angle_beta 71.79
_cell_angle_gamma 76.93
loop_
_symmetry_equiv_pos_as_xyz
'x,y,z'
loop_
_atom_site_label
_atom_site_fract_x
_atom_site_fract_y
_atom_site_fract_z
_atom_site_occupancy
Ac1 0.000 0.000 0.000 1
Ac2 0.472 0.892 0.135 1
Tb1 0.564 0.285 0.155 1
Tb2 0.618 0.465 0.416 1
Tb3 0.717 0.848 0.444 1
Tb4 0.856 0.426 0.719 1
Dy1 0.042 0.186 0.273 1
Dy2 0.134 0.555 0.300 1
Dy3 0.187 0.753 0.562 1
Dy4 0.286 0.138 0.573 1
Dy5 0.339 0.337 0.835 1
Dy6 0.431 0.706 0.862 1
Dy7 0.757 0.043 0.691 1
Dy8 0.909 0.606 0.980 1
# E_form: 0.04 eV per atom
# Calculated density: 8.427 g/cm³
# ΔE to the lowest computed polymorph: 0 meV/atom
# Final energy: -63.05 eV/cell

=====

No. 2
# SrOs2Cl, relaxed, DFT GGA-PBE
data_SrOs2Cl
_chemical_formula_sum 'Sr2 Os4 Cl2'
_symmetry_space_group_name_H-M 'C 1 m 1'
_symmetry_Int_Tables_number 8
_cell_length_a 7.067
_cell_length_b 4.059
_cell_length_c 8.251
_cell_angle_alpha 90.00
_cell_angle_beta 112.21
_cell_angle_gamma 90.00
loop_
_symmetry_equiv_pos_as_xyz
'x,y,z'
'x,-y,z'
'x+1/2,y+1/2,z'
'x+1/2,-y+1/2,z'
loop_
_atom_site_label
_atom_site_fract_x
_atom_site_fract_y
_atom_site_fract_z
_atom_site_occupancy
Sr1 0.000 0.000 0.000 1
Os1 0.298 0.500 0.298 1
Os2 0.491 0.000 0.355 1
Cl1 0.237 0.000 0.784 1
# Calculated density: 7.631 g/cm³
# ΔE to the lowest computed polymorph: 0 meV/atom
# Uncorrected formation energy: -0.0696 eV per atom
# Final energy: -52.53 eV/cell

=====

No. 3
# BaTh2Zn6, relaxed, DFT GGA-PBE
data_BaTh2Zn6
_chemical_formula_sum 'Ba1 Th2 Zn6'
_symmetry_space_group_name_H-M 'P 6/m m m'
_symmetry_Int_Tables_number 191
_symmetry_space_group_name_Hall '-P 6 2'
_cell_length_a 8.1482
_cell_length_b 8.1482
_cell_length_c 3.6150
_cell_angle_alpha 90.00
_cell_angle_beta 90.00
_cell_angle_gamma 120.00
loop_
_atom_site_label
_atom_site_fract_x
_atom_site_fract_y
_atom_site_fract_z
_atom_site_occupancy
Ba1 0.0000 0.0000 0.0000 1
Th1 0.3333 0.6667 0.0000 1
Zn1 0.0000 0.3420 0.5000 1
# E_form: -0.19 eV per atom
# Calculated density: 7.939 g/cm³
# Final energy: -26.09 eV/cell

=====

No. 4
# Nb6Pd12Au, relaxed, DFT GGA-PBE
data_Nb6Pd12Au
_chemical_formula_sum 'Nb18 Pd36 Au3'
_symmetry_space_group_name_H-M 'R -3'
_symmetry_Int_Tables_number 148
_symmetry_space_group_name_Hall '-R 3'
_cell_length_a 9.7383
_cell_length_b 9.7383
_cell_length_c 11.7371
_cell_angle_alpha 90.00
_cell_angle_beta 90.00
_cell_angle_gamma 120.00
loop_
_atom_site_label
_atom_site_fract_x
_atom_site_fract_y
_atom_site_fract_z
_atom_site_occupancy
Nb1 0.0210 0.5920 0.2080 1
Pd1 0.0410 0.8524 0.3135 1
Pd2 0.0625 0.2200 0.9150 1
Au1 0.0000 0.0000 0.5000 1
# E_form: -0.15 eV per atom
# Calculated density: 10.498 g/cm³
# Final energy: -386.73 eV/cell

=====

No. 5
# DyY2Sc3S6, relaxed, DFT GGA-PBE
data_DyY2Sc3S6
_chemical_formula_sum 'Dy2 Y4 Sc6 S12'
_symmetry_space_group_name_H-M 'C 1 2/m 1'
_symmetry_Int_Tables_number 12
_cell_length_a 16.570
_cell_length_b 3.797
_cell_length_c 7.635
_cell_angle_alpha 90.00
_cell_angle_beta 103.41
_cell_angle_gamma 90.00
loop_
_symmetry_equiv_pos_as_xyz
'x,y,z'
'-x,-y,-z'
'-x,y,-z'
'x,-y,z'
'x+1/2,y+1/2,z'
'-x+1/2,-y+1/2,-z'
'-x+1/2,y+1/2,-z'
'x+1/2,-y+1/2,z'
loop_
_atom_site_label
_atom_site_fract_x
_atom_site_fract_y
_atom_site_fract_z
_atom_site_occupancy
Dy1 0.000 0.000 0.000 1
Y1 0.167 0.500 0.333 1
Sc1 0.000 0.000 0.500 1
Sc2 0.167 0.500 0.834 1
S1 0.004 0.500 0.741 1
S2 0.163 0.000 0.593 1
S3 0.170 0.000 0.074 1
# Calculated density: 4.745 g/cm³
# Uncorrected formation energy: -1.9231 eV per atom
# Final energy: -168.73 eV/cell

=====

No. 6
# Pr5Nd2Dy6, relaxed, DFT GGA-PBE
data_Pr5Nd2Dy6
_chemical_formula_sum 'Pr10 Nd4 Dy12'
_symmetry_space_group_name_H-M 'P b a m'
_symmetry_Int_Tables_number 55
_cell_length_a 11.811
_cell_length_b 20.780
_cell_length_c 3.634
_cell_angle_alpha 90.00
_cell_angle_beta 90.00
_cell_angle_gamma 90.00
loop_
_symmetry_equiv_pos_as_xyz
'x,y,z'
'-x,-y,-z'
'-x,-y,z'
'x,y,-z'
'x+1/2,-y+1/2,-z'
'-x+1/2,y+1/2,z'
'-x+1/2,y+1/2,-z'
'x+1/2,-y+1/2,z'
loop_
_atom_site_label
_atom_site_fract_x
_atom_site_fract_y
_atom_site_fract_z
_atom_site_occupancy
Pr1 0.000 0.000 0.000 1
Pr2 0.083 0.280 0.000 1
Pr3 0.200 0.554 0.000 1
Nd1 0.175 0.719 0.500 1
Dy1 0.063 0.424 0.500 1
Dy2 0.075 0.136 0.500 1
Dy3 0.181 0.870 0.000 1
# E_form: 0.09 eV per atom
# Calculated density: 7.328 g/cm³
# Final energy: -119.70 eV/cell